Material: CsMnF3
Method: DFT, PBE+U
State: optimized geometry

Properties
calculated volume = 19.23 Å³/atom
magnetization = 5.00 μB/f.u.
E = -5.457 eV/atom
calculated density = 4.23 g cm⁻³

Cell: 11.5433 11.5433 11.5433 Å, 90.00 90.00 90.00°
Last column: nearest neighbours and their distance in Å.
Space group Fd-3m (No. 227, origin choice 2)
Symmetry-distinct sites (fractional):
Cs (0.0000, 0.0000, 0.0000) [16 per cell]  6 F 2.94
Mn (0.0000, 0.0000, 0.5000) [16 per cell]  6 F 2.18
F (0.0667, 0.3750, 0.8750) [48 per cell]  2 Mn 2.18